VASP calculation (GGA+U) on NaMnH3C3O6 after structural relaxation.

Summary:
Total energy ... -6.64 eV/atom
Symmetry ... P2_13
DOS(E_F) ... 0.0 states/eV/cell
ρ ... 1.745 g cm⁻³

a = 9.324 Å, b = 9.324 Å, c = 9.324 Å
α = 90.00°, β = 90.00°, γ = 90.00°
Site moments in Bohr magnetons follow the coordinates.
Fractional positions:
O: 0.707 0.418 0.584  0.01
O: 0.416 0.207 0.082  0.01
O: 0.718 0.571 0.854  0.02
O: 0.918 0.916 0.293  0.01
O: 0.207 0.082 0.416  0.01
O: 0.782 0.429 0.354  0.02
O: 0.293 0.918 0.916  0.01
O: 0.584 0.707 0.418  0.01
O: 0.082 0.416 0.207  0.01
O: 0.071 0.646 0.282  0.02
O: 0.084 0.793 0.582  0.01
O: 0.929 0.146 0.218  0.02
O: 0.854 0.718 0.571  0.02
O: 0.916 0.293 0.918  0.01
O: 0.571 0.854 0.718  0.02
O: 0.218 0.929 0.146  0.02
O: 0.429 0.354 0.782  0.02
O: 0.582 0.084 0.793  0.01
O: 0.354 0.782 0.429  0.02
O: 0.646 0.282 0.071  0.02
O: 0.146 0.218 0.929  0.02
O: 0.282 0.071 0.646  0.02
O: 0.793 0.582 0.084  0.01
O: 0.418 0.584 0.707  0.01
C: 0.530 0.257 0.137  0.01
C: 0.970 0.743 0.637  0.01
C: 0.863 0.030 0.243  0.01
C: 0.637 0.970 0.743  0.01
C: 0.363 0.470 0.757  0.01
C: 0.257 0.137 0.530  0.01
C: 0.743 0.637 0.970  0.01
C: 0.030 0.243 0.863  0.01
C: 0.243 0.863 0.030  0.01
C: 0.137 0.530 0.257  0.01
C: 0.757 0.363 0.470  0.01
C: 0.470 0.757 0.363  0.01
H: 0.254 0.527 0.282  0.00
H: 0.218 0.746 0.027  0.00
H: 0.027 0.218 0.746  0.00
H: 0.746 0.027 0.218  0.00
H: 0.246 0.473 0.782  0.00
H: 0.718 0.754 0.973  0.00
H: 0.527 0.282 0.254  0.00
H: 0.754 0.973 0.718  0.00
H: 0.973 0.718 0.754  0.00
H: 0.282 0.254 0.527  0.00
H: 0.782 0.246 0.473  0.00
H: 0.473 0.782 0.246  0.00
Mn: 0.640 0.640 0.640  4.67
Mn: 0.140 0.860 0.360  4.67
Mn: 0.860 0.360 0.140  4.67
Mn: 0.360 0.140 0.860  4.67
Na: 0.182 0.182 0.182  0.00
Na: 0.318 0.818 0.682  0.00
Na: 0.682 0.318 0.818  0.00
Na: 0.818 0.682 0.318  0.00